No. 1
The following is a PBE-GGA calculation of TmAl after structural relaxation, from OQMD via LeMat-Bulk.

POSCAR file:
```
TmAl
1.0
0.0000 2.9683 2.9683
2.9683 0.0000 2.9683
2.9683 2.9683 0.0000
Tm Al
1 1
direct
0.5000 0.5000 0.5000
0.0000 0.0000 0.0000
```

Computed properties:
Final energy = -3.984 eV/atom
SG = Fm-3m


No. 2
The following is a PBE-GGA calculation of TmAl after structural relaxation, from OQMD via LeMat-Bulk.

POSCAR file:
```
TmAl
1.0
2.5951 -4.4949 0.0000
2.5951 4.4949 0.0000
0.0000 0.0000 5.8755
Tm Al
2 2
direct
0.3333 0.6667 0.9374
0.0000 0.0000 0.4374
0.0000 0.0000 0.9376
0.3333 0.6667 0.4376
```

Computed properties:
Final energy = -3.525 eV/atom
SG = P6_3/mmc


No. 3
The following is a PBE-GGA calculation of Tm3Al after structural relaxation, from OQMD via LeMat-Bulk.

POSCAR file:
```
Tm3Al
1.0
0.0000 3.7245 3.7245
3.7245 0.0000 3.7245
3.7245 3.7245 0.0000
Tm Al
3 1
direct
0.2500 0.2500 0.2500
0.0000 0.0000 0.0000
0.5000 0.5000 0.5000
0.7500 0.7500 0.7500
```

Computed properties:
Final energy = -4.347 eV/atom
SG = Fm-3m


No. 4
The following is a PBE-GGA calculation of Tm2Al after structural relaxation, from OQMD via LeMat-Bulk.

POSCAR file:
```
Tm2Al
1.0
-2.1252 -0.2001 5.7045
-6.0015 0.1887 1.0224
-2.9072 -4.9668 1.9943
Tm Al
4 2
direct
0.1250 0.6250 0.6250
0.6250 0.6250 0.6250
0.6250 0.6250 0.1250
0.6250 0.1250 0.6250
0.2500 0.2500 0.2500
0.0000 0.0000 0.0000
```

Computed properties:
Final energy = -3.870 eV/atom
SG = Fd-3m


No. 5
The following is a PBE-GGA calculation of Tm2Al after structural relaxation, from OQMD via LeMat-Bulk.

POSCAR file:
```
Tm2Al
1.0
-1.9259 4.9591 7.2935
6.0942 5.8192 3.2395
-1.3653 8.8864 -0.8157
Tm Al
4 2
direct
0.3750 0.3750 0.3750
0.3750 0.8750 0.3750
0.8750 0.3750 0.3750
0.3750 0.3750 0.8750
0.5000 0.5000 0.5000
0.2500 0.2500 0.2500
```

Computed properties:
Final energy = -2.611 eV/atom
SG = Fd-3m


No. 6
The following is a PBE-GGA calculation of Tm3Al after structural relaxation, from OQMD via LeMat-Bulk.

POSCAR file:
```
Tm3Al
1.0
-2.3062 2.3062 4.8579
2.3062 -2.3062 4.8579
2.3062 2.3062 -4.8579
Tm Al
3 1
direct
0.2500 0.7500 0.5000
0.7500 0.2500 0.5000
0.5000 0.5000 0.0000
0.0000 0.0000 0.0000
```

Computed properties:
Final energy = -4.439 eV/atom
SG = I4/mmm